Entry from the Alexandria database: a relaxed structure of La8Sb3Te4 (PBE-GGA).

a b c (Å): 9.1290 9.1290 9.1306
angles (deg): 119.92 119.92 90.08
Sites, in units of the cell vectors:
La  0.2451  0.2451  0.4960
La  0.2477  0.7523  0.0000
La  0.2487  0.2487  0.0019
La  0.2492  0.7508  0.5000
La  0.7508  0.2492  0.5000
La  0.7513  0.7513  0.9981
La  0.7523  0.2477  0.0000
La  0.7549  0.7549  0.5040
Sb  0.0000  0.0000  0.0000
Sb  0.0000  0.5000  0.5000
Sb  0.5000  0.0000  0.5000
Te  0.0000  0.5000  0.0000
Te  0.5000  0.0000  0.0000
Te  0.5000  0.5000  0.0000
Te  0.5000  0.5000  0.5000

Output
Its total energy is -84.41 eV/cell. The value obtained for the density of states at the Fermi level is 8.9 states/eV per cell. The theoretical density is 6.121 g/cm3.